# 1
The following is a DFT calculation (PBE) of a geometry-optimized Li5AcPt3 structure.

Calculated values
**E_form**: -581 meV/atom
**N(E_F)**: 7.93 states/eV/cell
**ρ**: 8.8 Mg/m³

abc: 4.209 6.472 12.396
angles: 90.00 90.00 108.98
Fractional positions:
Li 0.389 0.778 0.357
Li 0.000 0.000 0.000
Li 0.199 0.399 0.963
Li 0.801 0.601 0.463
Li 0.611 0.222 0.643
Li 0.611 0.222 0.857
Li 0.801 0.601 0.037
Li 0.000 0.000 0.500
Li 0.199 0.399 0.537
Li 0.389 0.778 0.143
Pt 0.199 0.397 0.750
Pt 0.405 0.811 0.568
Pt 0.595 0.189 0.068
Pt 0.595 0.189 0.432
Pt 0.801 0.603 0.250
Pt 0.405 0.811 0.932
Ac 0.115 0.230 0.250
Ac 0.885 0.770 0.750

# 2
The following is a DFT calculation (PBE) of a geometry-optimized Ce2Cu2Ag3 structure.

Calculated values
**E_form**: -84 meV/atom
**N(E_F)**: 13.76 states/eV/cell
**ρ**: 8.3 Mg/m³

abc: 4.076 5.510 7.035
angles: 97.14 90.00 111.71
Each line ends with the local moment (μB).
Fractional positions:
Cu 0.086 0.172 0.644  0.00
Cu 0.914 0.828 0.356  0.00
Ag 0.314 0.627 0.133  0.00
Ag 0.686 0.373 0.867  0.00
Ag 0.000 0.000 0.000  0.01
Ce 0.375 0.749 0.669  0.80
Ce 0.625 0.251 0.331  0.80